Entry from OQMD via LeMat-Bulk: an optimized crystal structure of NiH4NCl4 (PBE-GGA).

**Calculated total energy**: -4.0004 eV per atom
**Symmetry**: I4_1/a, No. 88

Unit cell a=9.0004 b=9.0004 c=9.0004 alpha=135.44 beta=135.44 gamma=64.84
With the nearest neighbours (Å) after each atom.
Positions (direct):
Cl 0.5582 0.9582 0.8574  1 Ni 2.16, 1 H 2.40
Cl 0.6493 0.5493 0.3574  1 Ni 2.16, 1 H 2.40
Cl 0.1007 0.7007 0.1426  1 Ni 2.16, 1 H 2.40
Cl 0.0418 0.8993 0.6000  1 Ni 2.16, 1 H 2.40
Cl 0.1918 0.2918 0.6426  1 Ni 2.16, 1 H 2.40
Cl 0.4507 0.8082 0.1000  1 Ni 2.16, 1 H 2.40
Cl 0.2993 0.4418 0.4000  1 Ni 2.16, 1 H 2.40
Cl 0.7082 0.3507 0.9000  1 Ni 2.16, 1 H 2.40
Ni 0.5000 0.5000 0.0000  4 Cl 2.16
Ni 0.2500 0.7500 0.5000  4 Cl 2.16
H 0.9130 0.2892 0.6228  1 N 1.04
H 0.8370 0.9608 0.8772  1 N 1.04
H 0.0835 0.9598 0.1228  1 N 1.04
H 0.0392 0.9165 0.8762  1 N 1.04
H 0.7108 0.3335 0.6238  1 N 1.04
H 0.0402 0.1630 0.1238  1 N 1.04
H 0.7098 0.0870 0.3762  1 N 1.04
H 0.6665 0.2902 0.3772  1 N 1.04
N 0.0000 0.0000 0.0000  4 H 1.04
N 0.7500 0.2500 0.5000  4 H 1.04



Entry from OQMD via LeMat-Bulk: an optimized crystal structure of GaAsOs (PBE-GGA).

**ΔE to the lowest computed polymorph**: 1.54 eV per formula unit
**Symmetry**: F-43m, No. 216

Unit cell a=4.2141 b=4.2141 c=4.2141 alpha=60.00 beta=60.00 gamma=60.00
With the nearest neighbours (Å) after each atom.
Positions (direct):
As 0.0000 0.0000 0.0000  4 Ga 2.58, 4 Os 2.58
Ga 0.2500 0.2500 0.2500  4 As 2.58
Os 0.7500 0.7500 0.7500  4 As 2.58



Entry from OQMD via LeMat-Bulk: an optimized crystal structure of Cs2Cu2TeSe (PBE-GGA).

**Calculated total energy**: -3.2596 eV per atom
**Symmetry**: P2_1/m, No. 11

Unit cell a=7.1680 b=5.7549 c=12.8448 alpha=90.00 beta=91.37 gamma=90.00
With the nearest neighbours (Å) after each atom.
Positions (direct):
Cu 0.0000 0.0014 0.0000  2 Te 2.46
Cu 0.5000 0.0014 0.5000  2 Se 2.29
Cu 0.0000 0.5014 0.0000  2 Te 2.46
Cu 0.5000 0.5014 0.5000  2 Se 2.29
Se 0.2874 0.2514 0.4257  2 Cu 2.29
Se 0.7126 0.7514 0.5743  2 Cu 2.29
Te 0.7820 0.7514 0.0938  2 Cu 2.46
Te 0.2180 0.2514 0.9062  2 Cu 2.46
Cs 0.9749 0.2513 0.6436  3 Se 3.54-3.63, 1 Te 3.76
Cs 0.4842 0.2513 0.1687  1 Se 3.62, 3 Te 3.72-3.83
Cs 0.0251 0.7513 0.3564  3 Se 3.54-3.63, 1 Te 3.76
Cs 0.5158 0.7513 0.8313  1 Se 3.62, 3 Te 3.72-3.83



Entry from OQMD via LeMat-Bulk: an optimized crystal structure of SrHo (PBE-GGA).

**ΔE to the lowest computed polymorph**: 0.02 eV per formula unit
**Symmetry**: P6_3/mmc, No. 194

Unit cell a=3.7819 b=3.7819 c=12.6494 alpha=90.00 beta=90.00 gamma=120.00
With the nearest neighbours (Å) after each atom.
Positions (direct):
Sr 0.0000 0.0000 0.0000  6 Sr 3.78, 6 Ho 3.84
Sr 0.0000 0.0000 0.5000  6 Sr 3.78, 6 Ho 3.84
Ho 0.3333 0.6667 0.2500  6 Ho 3.78, 6 Sr 3.84
Ho 0.6667 0.3333 0.7500  6 Ho 3.78, 6 Sr 3.84



Entry from OQMD via LeMat-Bulk: an optimized crystal structure of SmPaTa (PBE-GGA).

**Formation enthalpy at 0 K**: 1.28 eV/atom
**ΔE to the lowest computed polymorph**: 0.00 eV per formula unit
**Symmetry**: F-43m, No. 216

Unit cell a=4.9042 b=4.9042 c=4.9042 alpha=60.00 beta=60.00 gamma=60.00
With the nearest neighbours (Å) after each atom.
Positions (direct):
Pa 0.0000 0.0000 0.0000  4 Ta 3.00, 4 Sm 3.00
Ta 0.7500 0.7500 0.7500  4 Pa 3.00
Sm 0.2500 0.2500 0.2500  4 Pa 3.00



Entry from OQMD via LeMat-Bulk: an optimized crystal structure of Nd3Si2Ge2Ir4 (PBE-GGA).

**Calculated total energy**: -7.2984 eV per atom
**Symmetry**: Immm, No. 71

Unit cell a=12.8563 b=12.8563 c=12.8563 alpha=161.61 beta=161.17 gamma=26.44
With the nearest neighbours (Å) after each atom.
Positions (direct):
Si 0.6992 0.1992 0.5000  5 Ir 2.40-2.46
Si 0.3008 0.8008 0.5000  5 Ir 2.40-2.46
Nd 0.5000 0.5000 0.0000  8 Ge 3.20, 4 Ir 3.31
Nd 0.1458 0.6458 0.5000  8 Ir 3.13-3.35, 2 Ge 3.16, 4 Si 3.23
Nd 0.8542 0.3542 0.5000  8 Ir 3.13-3.35, 2 Ge 3.16, 4 Si 3.23
Ge 0.0501 0.0501 0.0000  2 Ir 2.49, 1 Ge 2.51
Ge 0.9499 0.9499 0.0000  2 Ir 2.49, 1 Ge 2.51
Ir 0.3965 0.8965 0.5000  1 Si 2.40, 2 Ge 2.49
Ir 0.2500 0.2500 0.0000  4 Si 2.42-2.46
Ir 0.7500 0.7500 0.0000  4 Si 2.42-2.46
Ir 0.6035 0.1035 0.5000  1 Si 2.40, 2 Ge 2.49



Entry from OQMD via LeMat-Bulk: an optimized crystal structure of RbEr3F10 (PBE-GGA).

**ΔE to the lowest computed polymorph**: 0.59 eV per formula unit
**Symmetry**: Cm, No. 8

Unit cell a=7.7301 b=7.7301 c=4.1814 alpha=90.05 beta=90.05 gamma=60.02
With the nearest neighbours (Å) after each atom.
Positions (direct):
F 0.7128 0.0878 0.0633  2 Er 2.12
F 0.3401 0.8325 0.9251  2 Er 2.22
F 0.9962 0.9962 0.5244  2 Er 2.10-2.11
F 0.7130 0.7130 0.0590  2 Er 2.12
F 0.8325 0.3401 0.9251  2 Er 2.22
F 0.3402 0.3402 0.9210  2 Er 2.22
F 0.1713 0.1713 0.2008  3 Er 2.22
F 0.0878 0.7128 0.0633  2 Er 2.12
F 0.5215 0.9942 0.5226  2 Er 2.10-2.11
F 0.9942 0.5215 0.5226  2 Er 2.10-2.11
Er 0.0150 0.0150 0.0232  7 F 2.10-2.22
Er 0.4834 0.0150 0.0213  7 F 2.10-2.22
Er 0.0150 0.4834 0.0213  7 F 2.10-2.22
Rb 0.5051 0.5051 0.4605  9 F 2.93-3.25



Entry from OQMD via LeMat-Bulk: an optimized crystal structure of LuCuSiOs (PBE-GGA).

**ΔE to the lowest computed polymorph**: 1.53 eV per formula unit
**Symmetry**: F-43m, No. 216

Unit cell a=4.5097 b=4.5097 c=4.5097 alpha=60.00 beta=60.00 gamma=60.00
With the nearest neighbours (Å) after each atom.
Positions (direct):
Os 0.5000 0.5000 0.5000  4 Lu 2.76, 4 Cu 2.76
Cu 0.7500 0.7500 0.7500  4 Os 2.76, 4 Si 2.76
Si 0.0000 0.0000 0.0000  4 Lu 2.76, 4 Cu 2.76
Lu 0.2500 0.2500 0.2500  4 Os 2.76, 4 Si 2.76



Entry from OQMD via LeMat-Bulk: an optimized crystal structure of PrSnSe2 (PBE-GGA).

**Calculated total energy**: -5.0363 eV per atom
**Symmetry**: P4/mmm, No. 123

Unit cell a=4.2800 b=4.2800 c=6.0860 alpha=90.00 beta=90.00 gamma=90.00
With the nearest neighbours (Å) after each atom.
Positions (direct):
Se 0.0000 0.0000 0.5000  4 Sn 3.03, 2 Pr 3.04
Se 0.5000 0.5000 0.0000  4 Pr 3.03, 2 Sn 3.04
Sn 0.5000 0.5000 0.5000  6 Se 3.03-3.04
Pr 0.0000 0.0000 0.0000  6 Se 3.03-3.04



Entry from OQMD via LeMat-Bulk: an optimized crystal structure of ZrSi (PBE-GGA).

**Calculated total energy**: -7.4898 eV per atom
**Symmetry**: P4/nmm, No. 129

Unit cell a=9.8553 b=3.8683 c=3.8673 alpha=90.00 beta=90.00 gamma=90.00
With the nearest neighbours (Å) after each atom.
Positions (direct):
Si 0.4583 0.0000 0.0000  4 Si 2.73, 4 Zr 2.85
Si 0.1683 0.5000 0.0000  8 Zr 2.83-2.84
Si 0.7484 0.0000 0.5000  8 Zr 2.83-2.84
Si 0.4584 0.5000 0.5000  4 Si 2.73, 4 Zr 2.85
Zr 0.9585 0.0000 0.0000  4 Zr 2.73, 4 Si 2.83
Zr 0.9582 0.5000 0.5000  4 Zr 2.73, 4 Si 2.83
Zr 0.2460 0.0000 0.5000  8 Si 2.84-2.85
Zr 0.6707 0.5000 0.0000  8 Si 2.84-2.85



Entry from OQMD via LeMat-Bulk: an optimized crystal structure of YErSi2Au2 (PBE-GGA).

**Calculated total energy**: -5.5527 eV per atom
**Symmetry**: P3m1, No. 156

Unit cell a=4.3171 b=4.3171 c=7.6242 alpha=90.00 beta=90.00 gamma=120.00
With the nearest neighbours (Å) after each atom.
Positions (direct):
Au 0.3333 0.6667 0.7613  3 Si 2.51
Au 0.6667 0.3333 0.2720  3 Si 2.52
Y 0.0000 0.0000 0.0011  6 Si 3.02-3.28, 6 Au 3.09-3.24
Er 0.0000 0.0000 0.4998  6 Si 3.01-3.25, 6 Au 3.04-3.19
Si 0.6667 0.3333 0.7219  3 Au 2.51
Si 0.3333 0.6667 0.2259  3 Au 2.52



Entry from OQMD via LeMat-Bulk: an optimized crystal structure of Cu8As (PBE-GGA).

**ΔE to the lowest computed polymorph**: 0.00 eV per formula unit
**Symmetry**: C2/m, No. 12

Unit cell a=4.3267 b=4.3267 c=25.2565 alpha=90.46 beta=90.46 gamma=47.71
With the nearest neighbours (Å) after each atom.
Positions (direct):
Cu 0.2448 0.2448 0.2553  3 As 2.46, 6 Cu 2.52-2.75
Cu 0.5483 0.5483 0.2173  9 Cu 2.51-2.67, 2 As 2.54
Cu 0.4517 0.4517 0.7827  9 Cu 2.51-2.67, 2 As 2.54
Cu 0.8500 0.8500 0.8497  12 Cu 2.49-2.75
Cu 0.4508 0.4508 0.1159  12 Cu 2.49-2.67
Cu 0.5492 0.5492 0.8841  12 Cu 2.49-2.67
Cu 0.1500 0.1500 0.1503  12 Cu 2.49-2.75
Cu 0.2496 0.2496 0.9160  12 Cu 2.49-2.65
Cu 0.9491 0.9491 0.9502  12 Cu 2.50-2.65
Cu 0.6500 0.6500 0.9835  12 Cu 2.50-2.65
Cu 0.7504 0.7504 0.0840  12 Cu 2.49-2.65
Cu 0.1511 0.1511 0.8169  11 Cu 2.49-2.66, 1 As 2.62
Cu 0.8489 0.8489 0.1831  11 Cu 2.49-2.66, 1 As 2.62
Cu 0.3500 0.3500 0.0165  12 Cu 2.50-2.65
Cu 0.0509 0.0509 0.0498  12 Cu 2.50-2.65
Cu 0.7552 0.7552 0.7447  3 As 2.46, 6 Cu 2.52-2.75
As 0.9468 0.9468 0.2825  6 Cu 2.46-2.62
As 0.0532 0.0532 0.7175  6 Cu 2.46-2.62



Entry from OQMD via LeMat-Bulk: an optimized crystal structure of DyAl7Au3 (PBE-GGA).

**Calculated total energy**: -4.2071 eV per atom
**Symmetry**: R-3c, No. 167

Unit cell a=8.0940 b=8.0940 c=8.4425 alpha=118.64 beta=90.00 gamma=60.00
With the nearest neighbours (Å) after each atom.
Positions (direct):
Au 0.0741 0.1759 0.7500  7 Al 2.59-2.67
Au 0.7500 0.8241 0.7500  7 Al 2.59-2.67
Au 0.9259 0.8241 0.2500  7 Al 2.59-2.67
Au 0.5741 0.5000 0.2500  7 Al 2.59-2.67
Au 0.4259 0.5000 0.7500  7 Al 2.59-2.67
Au 0.2500 0.1759 0.2500  7 Al 2.59-2.67
Al 0.8327 0.5203 0.0897  3 Au 2.59-2.67, 5 Al 2.82-2.89
Al 0.0694 0.0777 0.4103  3 Au 2.59-2.67, 5 Al 2.82-2.89
Al 0.5694 0.2633 0.9103  3 Au 2.59-2.67, 5 Al 2.82-2.89
Al 0.6673 0.2633 0.4103  3 Au 2.59-2.67, 5 Al 2.82-2.89
Al 0.9306 0.9223 0.5897  3 Au 2.59-2.67, 5 Al 2.82-2.89
Al 0.3327 0.7367 0.5897  3 Au 2.59-2.67, 5 Al 2.82-2.89
Al 0.8530 0.4797 0.4103  3 Au 2.59-2.67, 5 Al 2.82-2.89
Al 0.7500 0.5000 0.7500  3 Au 2.62, 6 Al 2.89
Al 0.3530 0.0777 0.9103  3 Au 2.59-2.67, 5 Al 2.82-2.89
Al 0.1673 0.4797 0.9103  3 Au 2.59-2.67, 5 Al 2.82-2.89
Al 0.1470 0.5203 0.5897  3 Au 2.59-2.67, 5 Al 2.82-2.89
Al 0.6470 0.9223 0.0897  3 Au 2.59-2.67, 5 Al 2.82-2.89
Al 0.2500 0.5000 0.2500  3 Au 2.62, 6 Al 2.89
Al 0.4306 0.7367 0.0897  3 Au 2.59-2.67, 5 Al 2.82-2.89
Dy 0.0000 0.0000 0.0000  6 Au 3.25, 12 Al 3.31-3.37
Dy 0.5000 0.0000 0.5000  6 Au 3.25, 12 Al 3.31-3.37



Entry from OQMD via LeMat-Bulk: an optimized crystal structure of Tm3ZnIn2CuAu2 (PBE-GGA).

**Calculated total energy**: -4.0128 eV per atom
**Symmetry**: Amm2, No. 38

Unit cell a=3.8321 b=7.5849 c=7.5849 alpha=120.11 beta=90.00 gamma=90.00
With the nearest neighbours (Å) after each atom.
Positions (direct):
Tm 0.0000 0.4039 0.0052  4 Au 2.96-3.06, 1 Cu 2.97, 2 Zn 3.26, 4 In 3.30
Tm 0.0000 0.0052 0.4039  4 Au 2.96-3.06, 1 Cu 2.97, 2 Zn 3.26, 4 In 3.30
Tm 0.0000 0.5771 0.5771  4 Au 2.96, 2 Zn 3.13
In 0.5000 0.7547 0.9982  2 Cu 2.72, 2 Au 2.94
In 0.5000 0.9982 0.7547  2 Cu 2.72, 2 Au 2.94
Au 0.5000 0.3309 0.6612  1 Zn 2.86, 2 In 2.94, 6 Tm 2.96-3.06
Au 0.5000 0.6612 0.3309  1 Zn 2.86, 2 In 2.94, 6 Tm 2.96-3.06
Zn 0.5000 0.2495 0.2495  2 Cu 2.59, 2 Au 2.86
Cu 0.0000 0.0192 0.0192  2 Zn 2.59, 4 In 2.72



Entry from OQMD via LeMat-Bulk: an optimized crystal structure of Hf2TlW (PBE-GGA).

**Calculated total energy**: -8.3332 eV per atom
**Symmetry**: F-43m, No. 216

Unit cell a=4.8241 b=4.8241 c=4.8241 alpha=60.00 beta=60.00 gamma=60.00
With the nearest neighbours (Å) after each atom.
Positions (direct):
W 0.2500 0.2500 0.2500  4 Hf 2.95, 4 Tl 2.95
Hf 0.7500 0.7500 0.7500  4 Tl 2.95, 4 Hf 2.95
Hf 0.0000 0.0000 0.0000  4 Hf 2.95, 4 W 2.95
Tl 0.5000 0.5000 0.5000  4 Hf 2.95, 4 W 2.95



Entry from OQMD via LeMat-Bulk: an optimized crystal structure of Cs2Cu2AsP (PBE-GGA).

**Calculated total energy**: -3.3846 eV per atom
**Symmetry**: P4mm, No. 99

Unit cell a=4.2511 b=4.2511 c=9.0933 alpha=90.00 beta=90.00 gamma=90.00
With the nearest neighbours (Å) after each atom.
Positions (direct):
Cs 0.5000 0.5000 0.6740  4 As 3.47, 4 Cu 3.70
Cs 0.0000 0.0000 0.3210  4 P 3.50, 4 Cu 3.56
P 0.5000 0.5000 0.1247  4 Cu 2.38
Cu 0.0000 0.5000 0.0075  2 P 2.38, 2 As 2.49
Cu 0.5000 0.0000 0.0075  2 P 2.38, 2 As 2.49
As 0.0000 0.0000 0.8652  4 Cu 2.49



Entry from OQMD via LeMat-Bulk: an optimized crystal structure of PrCo (PBE-GGA).

**Formation enthalpy at 0 K**: 0.30 eV/atom
**Symmetry**: Fm-3m, No. 225

Unit cell a=3.9796 b=3.9796 c=3.9796 alpha=60.00 beta=60.00 gamma=60.00
With the nearest neighbours (Å) after each atom.
Positions (direct):
Co 0.0000 0.0000 0.0000  6 Pr 2.81
Pr 0.5000 0.5000 0.5000  6 Co 2.81



Entry from OQMD via LeMat-Bulk: an optimized crystal structure of LiGaCuOs (PBE-GGA).

**ΔE to the lowest computed polymorph**: 0.00 eV per formula unit
**Symmetry**: F-43m, No. 216

Unit cell a=4.1773 b=4.1773 c=4.1773 alpha=60.00 beta=60.00 gamma=60.00
With the nearest neighbours (Å) after each atom.
Positions (direct):
Ga 0.0000 0.0000 0.0000  4 Os 2.56, 4 Cu 2.56
Os 0.2500 0.2500 0.2500  4 Ga 2.56, 4 Li 2.56
Cu 0.7500 0.7500 0.7500  4 Li 2.56, 4 Ga 2.56
Li 0.5000 0.5000 0.5000  4 Cu 2.56, 4 Os 2.56



Entry from OQMD via LeMat-Bulk: an optimized crystal structure of YSc2Cu4Ge4 (PBE-GGA).

**Calculated total energy**: -5.3708 eV per atom
**Symmetry**: Immm, No. 71

Unit cell a=7.7948 b=7.7948 c=7.7948 alpha=149.94 beta=129.32 gamma=60.05
With the nearest neighbours (Å) after each atom.
Positions (direct):
Cu 0.6355 0.3283 0.3072  4 Ge 2.45-2.51, 1 Cu 2.57
Cu 0.0211 0.3283 0.6928  4 Ge 2.45-2.51, 1 Cu 2.57
Cu 0.3645 0.6717 0.6928  4 Ge 2.45-2.51, 1 Cu 2.57
Cu 0.9789 0.6717 0.3072  4 Ge 2.45-2.51, 1 Cu 2.57
Ge 0.2214 0.2214 0.0000  6 Cu 2.49-2.51
Ge 0.7786 0.7786 0.0000  6 Cu 2.49-2.51
Ge 0.6866 0.5000 0.1866  2 Cu 2.45, 1 Ge 2.49
Ge 0.3134 0.5000 0.8134  2 Cu 2.45, 1 Ge 2.49
Y 0.0000 0.0000 0.0000  6 Ge 2.91-2.99
Sc 0.3733 0.8733 0.5000  6 Ge 2.88-2.93, 6 Cu 2.94-3.01
Sc 0.6267 0.1267 0.5000  6 Ge 2.88-2.93, 6 Cu 2.94-3.01



Entry from OQMD via LeMat-Bulk: an optimized crystal structure of ThTl (PBE-GGA).

**Calculated total energy**: -4.9532 eV per atom
**Symmetry**: P-6m2, No. 187

Unit cell a=3.4944 b=3.4944 c=5.6733 alpha=90.00 beta=90.00 gamma=120.00
With the nearest neighbours (Å) after each atom.
Positions (direct):
Tl 0.3333 0.6667 0.2500  6 Th 3.48, 6 Tl 3.49
Th 0.6667 0.3333 0.7500  6 Tl 3.48, 6 Th 3.49